Below is NaHoWO5 after structural relaxation, with properties calculated at the GGA+U level.

a b c (Å): 7.170 10.208 7.980
angles (deg): 90.00 112.59 90.00
Space group C2/c (No. 15)
Asymmetric unit:
Na 0.000 0.206 0.250 (multiplicity 4)
Ho 0.000 0.500 0.000 (multiplicity 4)
W 0.000 0.192 0.750 (multiplicity 4)
O 0.000 0.423 0.250 (multiplicity 4)
O 0.127 0.297 0.642 (multiplicity 8)
O 0.178 0.088 0.923 (multiplicity 8)

calculated total energy: -7.135 eV/atom